(1)
Compound: LaP2W
Source: the Alexandria database
Functional: PBE
Structure: optimized geometry

Output
**DOS at the Fermi energy**: 3.411 states/eV/f.u.
**Relative energy among the computed polymorphs**: 120 meV/atom
**Spin magnetization**: 0.00 μB/cell
**ΔE_f**: -0.565 eV/atom

Cell lengths 3.351, 3.510, 13.373 Å; angles 90.00, 90.00, 90.00 degrees
Fractional positions:
La1 0.000 0.000 0.000
La2 0.500 0.500 0.500
P1 0.000 0.000 0.618
P2 0.000 0.500 0.820
P3 0.500 0.000 0.320
P4 0.500 0.500 0.118
W1 0.000 0.500 0.248
W2 0.500 0.000 0.748


(2)
Compound: NiPRu2
Source: the Alexandria database
Functional: PBE
Structure: optimized geometry

Output
**DOS at the Fermi energy**: 4.726 states/eV/f.u.
**Spin magnetization**: 0.00 μB/cell
**ΔE_f**: 0.227 eV/atom

Cell lengths 2.753, 4.213, 4.512 Å; angles 90.00, 90.00, 90.00 degrees
Fractional positions:
Ni1 0.000 0.000 0.000
P1 0.500 0.000 0.500
Ru1 0.000 0.500 0.500
Ru2 0.500 0.500 0.000


(3)
Compound: CrAg3B
Source: the Alexandria database
Functional: PBE
Structure: optimized geometry

Output
**DOS at the Fermi energy**: 1.995 states/eV/f.u.
**Relative energy among the computed polymorphs**: 1286 meV/atom
**Spin magnetization**: 4.63 μB/cell
**ΔE_f**: 1.913 eV/atom

Cell lengths 5.008, 5.008, 5.008 Å; angles 90.00, 90.00, 90.00 degrees
Fractional positions:
Cr1 0.000 0.000 0.000
Ag1 0.000 0.000 0.500
Ag2 0.000 0.500 0.000
Ag3 0.500 0.000 0.000
B1 0.500 0.500 0.500


(4)
Compound: KSrGe2Os
Source: the Alexandria database
Functional: PBE
Structure: optimized geometry

Output
**DOS at the Fermi energy**: 5.158 states/eV/f.u.
**Spin magnetization**: 3.03 μB/cell
**ΔE_f**: 2.015 eV/atom

Cell lengths 5.580, 5.580, 5.743 Å; angles 90.00, 90.00, 90.00 degrees
Fractional positions:
K1 0.000 0.000 0.000
Sr1 0.000 0.000 0.500
Ge1 0.000 0.500 0.500
Ge2 0.500 0.000 0.500
Os1 0.500 0.500 0.000


(5)
Compound: HoBi2Pd9
Source: the Alexandria database
Functional: PBE
Structure: optimized geometry

Output
**DOS at the Fermi energy**: 4.072 states/eV/f.u.
**Spin magnetization**: 0.00 μB/cell
**ΔE_f**: -0.463 eV/atom

Cell lengths 4.130, 4.130, 12.384 Å; angles 90.00, 90.00, 90.00 degrees
Fractional positions:
Ho1 0.000 0.000 0.000
Bi1 0.000 0.000 0.330
Bi2 0.000 0.000 0.670
Pd1 0.000 0.500 0.165
Pd2 0.000 0.500 0.500
Pd3 0.000 0.500 0.835
Pd4 0.500 0.000 0.165
Pd5 0.500 0.000 0.500
Pd6 0.500 0.000 0.835
Pd7 0.500 0.500 0.000
Pd8 0.500 0.500 0.336
Pd9 0.500 0.500 0.664


(6)
Compound: NdDyMnZn
Source: the Alexandria database
Functional: PBE
Structure: optimized geometry

Output
**DOS at the Fermi energy**: 5.283 states/eV/f.u.
**Spin magnetization**: 12.24 μB/cell
**ΔE_f**: -0.013 eV/atom

Cell lengths 7.220, 7.220, 7.220 Å; angles 90.00, 90.00, 90.00 degrees
Fractional positions:
Nd1 0.000 0.000 0.000
Nd2 0.000 0.500 0.500
Nd3 0.500 0.000 0.500
Nd4 0.500 0.500 0.000
Dy1 0.000 0.000 0.500
Dy2 0.000 0.500 0.000
Dy3 0.500 0.000 0.000
Dy4 0.500 0.500 0.500
Mn1 0.250 0.250 0.750
Mn2 0.250 0.750 0.250
Mn3 0.750 0.250 0.250
Mn4 0.750 0.750 0.750
Zn1 0.250 0.250 0.250
Zn2 0.250 0.750 0.750
Zn3 0.750 0.250 0.750
Zn4 0.750 0.750 0.250


(7)
Compound: Mo3Se
Source: the Alexandria database
Functional: PBE
Structure: optimized geometry

Output
**DOS at the Fermi energy**: 2.175 states/eV/f.u.
**Relative energy among the computed polymorphs**: 151 meV/atom
**Spin magnetization**: 0.00 μB/cell
**E_form (uncorrected)**: 0.309 eV/atom

Cell lengths 5.008, 5.008, 5.008 Å; angles 90.00, 90.00, 90.00 degrees
Fractional positions:
Mo1 0.000 0.250 0.500
Mo2 0.000 0.750 0.500
Mo3 0.250 0.500 0.000
Mo4 0.500 0.000 0.250
Mo5 0.500 0.000 0.750
Mo6 0.750 0.500 0.000
Se1 0.000 0.000 0.000
Se2 0.500 0.500 0.500


(8)
Compound: Ca7Br
Source: the Alexandria database
Functional: PBE
Structure: optimized geometry

Output
**DOS at the Fermi energy**: 8.707 states/eV/f.u.
**Spin magnetization**: 0.00 μB/cell
**E_form (uncorrected)**: -0.166 eV/atom

Cell lengths 7.678, 7.678, 7.678 Å; angles 60.00, 60.00, 60.00 degrees
Fractional positions:
Ca1 0.000 0.000 0.000
Ca2 0.000 0.000 0.500
Ca3 0.000 0.500 0.000
Ca4 0.000 0.500 0.500
Ca5 0.500 0.000 0.000
Ca6 0.500 0.000 0.500
Ca7 0.500 0.500 0.000
Br1 0.500 0.500 0.500


(9)
Compound: TmLuRh
Source: the Alexandria database
Functional: PBE
Structure: optimized geometry

Output
**DOS at the Fermi energy**: 2.352 states/eV/f.u.
**Relative energy among the computed polymorphs**: 0 meV/atom
**Spin magnetization**: 0.00 μB/cell
**ΔE_f**: -0.663 eV/atom

Cell lengths 6.685, 6.685, 6.685 Å; angles 90.00, 90.00, 90.00 degrees
Fractional positions:
Tm1 0.000 0.000 0.000
Tm2 0.000 0.500 0.500
Tm3 0.500 0.000 0.500
Tm4 0.500 0.500 0.000
Lu1 0.000 0.000 0.500
Lu2 0.000 0.500 0.000
Lu3 0.500 0.000 0.000
Lu4 0.500 0.500 0.500
Rh1 0.250 0.250 0.750
Rh2 0.250 0.750 0.250
Rh3 0.750 0.250 0.250
Rh4 0.750 0.750 0.750


(10)
Compound: Ba2ZrCu
Source: the Alexandria database
Functional: PBE
Structure: optimized geometry

Output
**DOS at the Fermi energy**: 6.708 states/eV/f.u.
**Relative energy among the computed polymorphs**: 468 meV/atom
**Spin magnetization**: 0.00 μB/cell
**ΔE_f**: 0.731 eV/atom

Cell lengths 5.015, 5.015, 10.123 Å; angles 90.00, 90.00, 90.00 degrees
Fractional positions:
Ba1 0.000 0.500 0.250
Ba2 0.000 0.500 0.750
Ba3 0.500 0.000 0.250
Ba4 0.500 0.000 0.750
Zr1 0.000 0.000 0.000
Zr2 0.500 0.500 0.500
Cu1 0.000 0.000 0.500
Cu2 0.500 0.500 0.000


(11)
Compound: TlHg4Os2
Source: the Alexandria database
Functional: PBE
Structure: optimized geometry

Output
**DOS at the Fermi energy**: 8.044 states/eV/f.u.
**Spin magnetization**: 7.09 μB/cell
**ΔE_f**: 1.229 eV/atom

Cell lengths 5.585, 5.585, 13.988 Å; angles 90.00, 90.00, 90.00 degrees
Fractional positions:
Tl1 0.000 0.000 0.000
Tl2 0.500 0.500 0.500
Hg1 0.000 0.000 0.221
Hg2 0.000 0.000 0.779
Hg3 0.000 0.500 0.000
Hg4 0.000 0.500 0.500
Hg5 0.500 0.000 0.000
Hg6 0.500 0.000 0.500
Hg7 0.500 0.500 0.279
Hg8 0.500 0.500 0.721
Os1 0.000 0.000 0.419
Os2 0.000 0.000 0.581
Os3 0.500 0.500 0.081
Os4 0.500 0.500 0.919


(12)
Compound: YBe3Co
Source: the Alexandria database
Functional: PBE
Structure: optimized geometry

Output
**DOS at the Fermi energy**: 11.362 states/eV/f.u.
**Relative energy among the computed polymorphs**: 2577 meV/atom
**Spin magnetization**: 1.07 μB/cell
**ΔE_f**: 2.473 eV/atom

Cell lengths 4.742, 4.742, 4.742 Å; angles 90.00, 90.00, 90.00 degrees
Fractional positions:
Y1 0.000 0.000 0.000
Be1 0.000 0.000 0.500
Be2 0.000 0.500 0.000
Be3 0.500 0.000 0.000
Co1 0.500 0.500 0.500


(13)
Compound: Pm4IrSe2Br
Source: the Alexandria database
Functional: PBE
Structure: optimized geometry

Output
**DOS at the Fermi energy**: 5.621 states/eV/f.u.
**Spin magnetization**: 0.00 μB/cell
**E_form (uncorrected)**: -1.385 eV/atom

Cell lengths 7.403, 4.111, 7.446 Å; angles 90.00, 108.27, 90.00 degrees
Fractional positions:
Pm1 0.229 0.000 0.220
Pm2 0.258 0.500 0.773
Pm3 0.742 0.500 0.227
Pm4 0.771 0.000 0.780
Ir1 0.000 0.500 0.000
Se1 0.500 0.000 0.000
Se2 0.500 0.500 0.500
Br1 0.000 0.000 0.500


(14)
Compound: Zn3MoH
Source: the Alexandria database
Functional: PBE
Structure: optimized geometry

Output
**DOS at the Fermi energy**: 3.084 states/eV/f.u.
**Relative energy among the computed polymorphs**: 0 meV/atom
**Spin magnetization**: 0.00 μB/cell

Cell lengths 3.935, 3.935, 3.935 Å; angles 90.00, 90.00, 90.00 degrees
Fractional positions:
Zn1 0.000 0.000 0.500
Zn2 0.000 0.500 0.000
Zn3 0.500 0.000 0.000
Mo1 0.500 0.500 0.500
H1 0.000 0.000 0.000